Record 1
Y2H4Pd | PBE | relaxed

Values from the calculation:
symmetry: I4/mmm, No. 139
VASP energy: -69.43 eV/cell

Lattice parameters (Å, degrees): 3.552 3.552 13.030 90.00 90.00 90.00
Sites, in units of the cell vectors:
Y (0.000, 0.000, 0.155)
Y (0.000, 0.000, 0.845)
Y (0.500, 0.500, 0.345)
Y (0.500, 0.500, 0.655)
H (0.000, 0.000, 0.329)
H (0.000, 0.000, 0.671)
H (0.000, 0.500, 0.000)
H (0.000, 0.500, 0.500)
H (0.500, 0.000, 0.000)
H (0.500, 0.000, 0.500)
H (0.500, 0.500, 0.171)
H (0.500, 0.500, 0.829)
Pd (0.000, 0.000, 0.500)
Pd (0.500, 0.500, 0.000)



Record 2
Ag2SbPd4 | PBE | relaxed

Values from the calculation:
ΔE_f (raw): -0.0910 eV/atom
symmetry: I4/mmm, No. 139
E above lowest polymorph: 0 meV per atom

Lattice parameters (Å, degrees): 6.619 6.619 5.863 90.00 90.00 90.00
Sites, in units of the cell vectors:
Ag (0.000, 0.500, 0.000)
Ag (0.000, 0.500, 0.500)
Ag (0.500, 0.000, 0.000)
Ag (0.500, 0.000, 0.500)
Sb (0.000, 0.000, 0.000)
Sb (0.500, 0.500, 0.500)
Pd (0.250, 0.250, 0.250)
Pd (0.250, 0.250, 0.750)
Pd (0.250, 0.750, 0.250)
Pd (0.250, 0.750, 0.750)
Pd (0.750, 0.250, 0.250)
Pd (0.750, 0.250, 0.750)
Pd (0.750, 0.750, 0.250)
Pd (0.750, 0.750, 0.750)



Record 3
Cs2TlClF6 | PBE | relaxed

Values from the calculation:
ΔE_f (raw): -1.8310 eV/atom
symmetry: I4/mmm, No. 139

Lattice parameters (Å, degrees): 6.937 6.937 6.937 124.03 124.03 83.15
Sites, in units of the cell vectors:
Cs (0.250, 0.750, 0.500)
Cs (0.750, 0.250, 0.500)
Tl (0.000, 0.000, 0.000)
Cl (0.500, 0.500, 0.000)
F (0.206, 0.206, 0.000)
F (0.241, 0.241, 0.482)
F (0.241, 0.759, 0.000)
F (0.759, 0.241, 0.000)
F (0.759, 0.759, 0.518)
F (0.794, 0.794, 0.000)



Record 4
Y5Ho5Sc2 | PBE | relaxed

Values from the calculation:
symmetry: C2/m, No. 12
VASP energy: -67.39 eV/cell

Lattice parameters (Å, degrees): 7.821 7.821 11.082 115.05 115.05 36.91
Sites, in units of the cell vectors:
Y (0.000, 0.000, 0.000)
Y (0.164, 0.164, 0.499)
Y (0.253, 0.253, 0.251)
Y (0.747, 0.747, 0.749)
Y (0.836, 0.836, 0.501)
Ho (0.332, 0.332, 0.000)
Ho (0.420, 0.420, 0.750)
Ho (0.500, 0.500, 0.500)
Ho (0.580, 0.580, 0.250)
Ho (0.668, 0.668, 0.000)
Sc (0.084, 0.084, 0.753)
Sc (0.916, 0.916, 0.247)



Record 5
BaY2Mo | PBE | relaxed

Values from the calculation:
symmetry: I-4m2, No. 119
E above lowest polymorph: 433 meV per atom

Lattice parameters (Å, degrees): 4.928 4.928 9.547 90.00 90.00 90.00
Sites, in units of the cell vectors:
Ba (0.000, 0.000, 0.000)
Ba (0.500, 0.500, 0.500)
Y (0.000, 0.000, 0.500)
Y (0.000, 0.500, 0.250)
Y (0.500, 0.000, 0.750)
Y (0.500, 0.500, 0.000)
Mo (0.000, 0.500, 0.750)
Mo (0.500, 0.000, 0.250)



Record 6
SrSiMo2 | PBE | relaxed

Values from the calculation:
ΔE_f (raw): 0.2844 eV/atom
symmetry: P4/mmm, No. 123

Lattice parameters (Å, degrees): 3.397 3.397 7.034 90.00 90.00 90.00
Sites, in units of the cell vectors:
Sr (0.000, 0.000, 0.000)
Si (0.000, 0.000, 0.500)
Mo (0.500, 0.500, 0.338)
Mo (0.500, 0.500, 0.662)



Record 7
Y2ZrFe | PBE | relaxed

Values from the calculation:
symmetry: P4mm, No. 99
E above lowest polymorph: 11 meV per atom

Lattice parameters (Å, degrees): 3.381 3.381 8.425 90.00 90.00 90.00
Sites, in units of the cell vectors:
Y (0.000, 0.000, 0.000)
Y (0.500, 0.500, 0.344)
Zr (0.000, 0.000, 0.628)
Fe (0.500, 0.500, 0.783)



Record 8
Ag2PbSe2 | PBE | relaxed

Values from the calculation:
ΔE_f (raw): -0.2023 eV/atom
symmetry: R-3m, No. 166
E above lowest polymorph: 0 meV per atom

Lattice parameters (Å, degrees): 4.325 4.325 22.419 90.00 90.00 120.00
Sites, in units of the cell vectors:
Ag (0.000, 0.000, 0.202)
Ag (0.000, 0.000, 0.798)
Ag (0.333, 0.667, 0.464)
Ag (0.333, 0.667, 0.869)
Ag (0.667, 0.333, 0.131)
Ag (0.667, 0.333, 0.536)
Pb (0.000, 0.000, 0.000)
Pb (0.333, 0.667, 0.667)
Pb (0.667, 0.333, 0.333)
Se (0.000, 0.000, 0.415)
Se (0.000, 0.000, 0.585)
Se (0.333, 0.667, 0.082)
Se (0.333, 0.667, 0.252)
Se (0.667, 0.333, 0.748)
Se (0.667, 0.333, 0.918)



Record 9
Li2CrAu | PBE | relaxed

Values from the calculation:
symmetry: C2/m, No. 12
E above lowest polymorph: 84 meV per atom

Lattice parameters (Å, degrees): 5.485 9.240 2.919 90.00 117.83 90.00
Sites, in units of the cell vectors:
Li (0.250, 0.250, 0.000)
Li (0.250, 0.750, 0.000)
Li (0.750, 0.250, 0.000)
Li (0.750, 0.750, 0.000)
Cr (0.000, 0.000, 0.500)
Cr (0.500, 0.500, 0.500)
Au (0.000, 0.500, 0.500)
Au (0.500, 0.000, 0.500)



Record 10
Sr2MgAs | PBE | relaxed

Values from the calculation:
symmetry: Cmm2, No. 35
E above lowest polymorph: 277 meV per atom

Lattice parameters (Å, degrees): 5.426 5.435 9.117 90.00 90.00 90.00
Sites, in units of the cell vectors:
Sr (0.000, 0.000, 0.000)
Sr (0.000, 0.500, 0.397)
Sr (0.500, 0.000, 0.397)
Sr (0.500, 0.500, 0.000)
Mg (0.000, 0.000, 0.652)
Mg (0.500, 0.500, 0.652)
As (0.000, 0.500, 0.778)
As (0.500, 0.000, 0.778)



Record 11
YErCdCo | PBE | relaxed

Values from the calculation:
symmetry: F-43m, No. 216
E above lowest polymorph: 114 meV per atom

Lattice parameters (Å, degrees): 7.093 7.093 7.093 90.00 90.00 90.00
Sites, in units of the cell vectors:
Y (0.000, 0.000, 0.000)
Y (0.000, 0.500, 0.500)
Y (0.500, 0.000, 0.500)
Y (0.500, 0.500, 0.000)
Er (0.000, 0.000, 0.500)
Er (0.000, 0.500, 0.000)
Er (0.500, 0.000, 0.000)
Er (0.500, 0.500, 0.500)
Cd (0.250, 0.250, 0.750)
Cd (0.250, 0.750, 0.250)
Cd (0.750, 0.250, 0.250)
Cd (0.750, 0.750, 0.750)
Co (0.250, 0.250, 0.250)
Co (0.250, 0.750, 0.750)
Co (0.750, 0.250, 0.750)
Co (0.750, 0.750, 0.250)



Record 12
MgSc2Al | PBE | relaxed

Values from the calculation:
symmetry: Amm2, No. 38
E above lowest polymorph: 112 meV per atom

Lattice parameters (Å, degrees): 4.624 3.247 11.619 90.00 90.00 90.00
Sites, in units of the cell vectors:
Mg (0.000, 0.000, 0.000)
Mg (0.000, 0.500, 0.500)
Sc (0.000, 0.000, 0.264)
Sc (0.000, 0.500, 0.764)
Sc (0.500, 0.000, 0.607)
Sc (0.500, 0.500, 0.107)
Al (0.500, 0.000, 0.863)
Al (0.500, 0.500, 0.363)



Record 13
ErTmNi | PBE | relaxed

Values from the calculation:
symmetry: F-43m, No. 216
E above lowest polymorph: 126 meV per atom

Lattice parameters (Å, degrees): 6.620 6.620 6.620 90.00 90.00 90.00
Sites, in units of the cell vectors:
Er (0.000, 0.000, 0.000)
Er (0.000, 0.500, 0.500)
Er (0.500, 0.000, 0.500)
Er (0.500, 0.500, 0.000)
Tm (0.000, 0.000, 0.500)
Tm (0.000, 0.500, 0.000)
Tm (0.500, 0.000, 0.000)
Tm (0.500, 0.500, 0.500)
Ni (0.250, 0.250, 0.750)
Ni (0.250, 0.750, 0.250)
Ni (0.750, 0.250, 0.250)
Ni (0.750, 0.750, 0.750)



Record 14
CeEr2Ga6 | PBE | relaxed

Values from the calculation:
symmetry: Immm, No. 71
E above lowest polymorph: 146 meV per atom

Lattice parameters (Å, degrees): 7.755 7.755 7.755 147.68 125.39 64.90
Sites, in units of the cell vectors:
Ce (0.000, 0.000, 0.000)
Er (0.375, 0.875, 0.500)
Er (0.625, 0.125, 0.500)
Ga (0.010, 0.314, 0.696)
Ga (0.317, 0.500, 0.817)
Ga (0.382, 0.686, 0.696)
Ga (0.618, 0.314, 0.304)
Ga (0.683, 0.500, 0.183)
Ga (0.990, 0.686, 0.304)



Record 15
CoPt5 | PBE | relaxed

Values from the calculation:
symmetry: P4/mmm, No. 123
VASP energy: -37.72 eV/cell

Lattice parameters (Å, degrees): 2.753 2.753 11.851 90.00 90.00 90.00
Sites, in units of the cell vectors:
Co (0.000, 0.000, 0.000)
Pt (0.000, 0.000, 0.327)
Pt (0.000, 0.000, 0.673)
Pt (0.500, 0.500, 0.151)
Pt (0.500, 0.500, 0.500)
Pt (0.500, 0.500, 0.849)



Record 16
Pm2ZnAg2Pd5 | PBE | relaxed

Values from the calculation:
symmetry: P4/mbm, No. 127
VASP energy: -94.02 eV/cell

Lattice parameters (Å, degrees): 9.808 9.808 3.979 90.00 90.00 90.00
Sites, in units of the cell vectors:
Pm (0.173, 0.327, 0.000)
Pm (0.327, 0.827, 0.000)
Pm (0.673, 0.173, 0.000)
Pm (0.827, 0.673, 0.000)
Zn (0.000, 0.000, 0.000)
Zn (0.500, 0.500, 0.000)
Ag (0.127, 0.627, 0.000)
Ag (0.373, 0.127, 0.000)
Ag (0.627, 0.873, 0.000)
Ag (0.873, 0.373, 0.000)
Pd (0.000, 0.500, 0.500)
Pd (0.055, 0.805, 0.500)
Pd (0.195, 0.055, 0.500)
Pd (0.305, 0.555, 0.500)
Pd (0.445, 0.305, 0.500)
Pd (0.500, 0.000, 0.500)
Pd (0.555, 0.695, 0.500)
Pd (0.695, 0.445, 0.500)
Pd (0.805, 0.945, 0.500)
Pd (0.945, 0.195, 0.500)



Record 17
YMgF3 | PBE | relaxed

Values from the calculation:
ΔE_f (raw): -2.5208 eV/atom
symmetry: Pm-3m, No. 221
E above lowest polymorph: 347 meV per atom

Lattice parameters (Å, degrees): 4.152 4.152 4.152 90.00 90.00 90.00
Sites, in units of the cell vectors:
Y (0.000, 0.000, 0.000)
Mg (0.500, 0.500, 0.500)
F (0.000, 0.500, 0.500)
F (0.500, 0.000, 0.500)
F (0.500, 0.500, 0.000)



Record 18
LaY4Ho10 | PBE | relaxed

Values from the calculation:
symmetry: I4/m, No. 87
VASP energy: -68.15 eV/cell

Lattice parameters (Å, degrees): 9.660 9.660 9.660 96.50 96.50 140.68
Sites, in units of the cell vectors:
La (0.000, 0.000, 0.000)
Y (0.325, 0.567, 0.892)
Y (0.433, 0.325, 0.758)
Y (0.567, 0.675, 0.242)
Y (0.675, 0.433, 0.108)
Ho (0.043, 0.880, 0.421)
Ho (0.120, 0.541, 0.162)
Ho (0.250, 0.750, 0.500)
Ho (0.379, 0.957, 0.838)
Ho (0.459, 0.621, 0.579)
Ho (0.541, 0.379, 0.421)
Ho (0.621, 0.043, 0.162)
Ho (0.750, 0.250, 0.500)
Ho (0.880, 0.459, 0.838)
Ho (0.957, 0.120, 0.579)



Record 19
CaLu2In | PBE | relaxed

Values from the calculation:
symmetry: R-3m, No. 166
E above lowest polymorph: 234 meV per atom

Lattice parameters (Å, degrees): 3.527 3.527 34.847 90.00 90.00 120.00
Sites, in units of the cell vectors:
Ca (0.000, 0.000, 0.000)
Ca (0.333, 0.667, 0.667)
Ca (0.667, 0.333, 0.333)
Lu (0.000, 0.000, 0.096)
Lu (0.000, 0.000, 0.904)
Lu (0.333, 0.667, 0.570)
Lu (0.333, 0.667, 0.763)
Lu (0.667, 0.333, 0.237)
Lu (0.667, 0.333, 0.430)
In (0.000, 0.000, 0.500)
In (0.333, 0.667, 0.167)
In (0.667, 0.333, 0.833)



Record 20
Rb4LiNp3Se8 | PBE | relaxed

Values from the calculation:
ΔE_f (raw): -1.2148 eV/atom
symmetry: R-3m, No. 166

Lattice parameters (Å, degrees): 9.325 9.325 9.325 54.53 54.53 54.53
Sites, in units of the cell vectors:
Rb (0.000, 0.000, 0.000)
Rb (0.000, 0.500, 0.500)
Rb (0.500, 0.000, 0.500)
Rb (0.500, 0.500, 0.000)
Li (0.500, 0.500, 0.500)
Np (0.000, 0.000, 0.500)
Np (0.000, 0.500, 0.000)
Np (0.500, 0.000, 0.000)
Se (0.220, 0.735, 0.735)
Se (0.232, 0.232, 0.232)
Se (0.265, 0.265, 0.780)
Se (0.265, 0.780, 0.265)
Se (0.735, 0.220, 0.735)
Se (0.735, 0.735, 0.220)
Se (0.768, 0.768, 0.768)
Se (0.780, 0.265, 0.265)